# 1
A relaxed structure of InCuO3. Source: Alexandria, functional PBE.

The structure in CIF format:
```
data_InCuO3
_space_group_name_H-M_alt 'P 1'
_space_group_IT_number 1
_space_group_name_Hall 'P 1'
_cell_length_a 5.358
_cell_length_b 5.358
_cell_length_c 6.065
_cell_angle_alpha 63.79
_cell_angle_beta 63.79
_cell_angle_gamma 60.00
loop_
_atom_site_label
_atom_site_type_symbol
_atom_site_fract_x
_atom_site_fract_y
_atom_site_fract_z
O1 O 0.411 0.750 0.750
O2 O 0.250 0.911 0.250
O3 O 0.089 0.411 0.750
Cu1 Cu 0.250 0.250 0.250
O4 O 0.911 0.589 0.250
O5 O 0.589 0.250 0.250
O6 O 0.750 0.089 0.750
In1 In 0.000 0.000 0.000
In2 In 0.500 0.500 0.500
Cu2 Cu 0.750 0.750 0.750
```

E in eV/atom: -5.11
Calculated volume in Å³/atom: 12.967



# 2
A relaxed structure of SrScNF2. Source: Alexandria, functional PBE.

The structure in CIF format:
```
data_SrScNF2
_space_group_name_H-M_alt 'P 1'
_space_group_IT_number 1
_space_group_name_Hall 'P 1'
_cell_length_a 4.161
_cell_length_b 4.161
_cell_length_c 4.288
_cell_angle_alpha 90.00
_cell_angle_beta 90.00
_cell_angle_gamma 90.00
loop_
_atom_site_label
_atom_site_type_symbol
_atom_site_fract_x
_atom_site_fract_y
_atom_site_fract_z
Sc1 Sc 0.000 0.000 0.000
F1 F 0.000 0.500 0.000
N1 N 0.000 0.000 0.500
F2 F 0.500 0.000 0.000
Sr1 Sr 0.500 0.500 0.500
```

E in eV/atom: -6.61
Calculated volume in Å³/atom: 14.849
Relative energy among the computed polymorphs in meV per atom: 0



# 3
A relaxed structure of YMnOs. Source: Alexandria, functional PBE.

The structure in CIF format:
```
data_YMnOs
_space_group_name_H-M_alt 'P 1'
_space_group_IT_number 1
_space_group_name_Hall 'P 1'
_cell_length_a 3.944
_cell_length_b 3.944
_cell_length_c 4.417
_cell_angle_alpha 90.00
_cell_angle_beta 90.00
_cell_angle_gamma 120.00
loop_
_atom_site_label
_atom_site_type_symbol
_atom_site_fract_x
_atom_site_fract_y
_atom_site_fract_z
Os1 Os 0.667 0.333 0.149
Mn1 Mn 0.000 0.000 0.184
Y1 Y 0.333 0.667 0.666
```

DFT formation energy in meV/atom: -13
E in eV/atom: -8.97
Calculated volume in Å³/atom: 19.833
Relative energy among the computed polymorphs in meV per atom: 185



# 4
A relaxed structure of LiSc2HOs. Source: Alexandria, functional PBE.

The structure in CIF format:
```
data_LiSc2HOs
_space_group_name_H-M_alt 'P 1'
_space_group_IT_number 1
_space_group_name_Hall 'P 1'
_cell_length_a 4.518
_cell_length_b 4.518
_cell_length_c 3.414
_cell_angle_alpha 90.00
_cell_angle_beta 90.00
_cell_angle_gamma 90.00
loop_
_atom_site_label
_atom_site_type_symbol
_atom_site_fract_x
_atom_site_fract_y
_atom_site_fract_z
Sc1 Sc 0.000 0.500 0.000
H1 H 0.000 0.000 0.000
Li1 Li 0.000 0.000 0.500
Os1 Os 0.500 0.500 0.500
Sc2 Sc 0.500 0.000 0.000
```

E in eV/atom: -6.17
Calculated volume in Å³/atom: 13.940